Record 1
# La2GaTe5Au (GGA-PBE, relaxed)
# - ΔE_f (raw) (eV/atom) = -0.963
data_La2GaTe5Au
_chemical_formula_sum 'La4 Ga2 Te10 Au2'
_cell_length_a 10.121
_cell_length_b 10.121
_cell_length_c 12.974
_cell_angle_alpha 90.00
_cell_angle_beta 90.00
_cell_angle_gamma 154.54
_space_group_name_H-M_alt 'P 1'
_space_group_IT_number 1
loop_
_space_group_symop_operation_xyz
'x,y,z'
loop_
_atom_site_label
_atom_site_fract_x
_atom_site_fract_y
_atom_site_fract_z
La1 0.113 0.887 0.500
La2 0.130 0.870 0.119
La3 0.870 0.130 0.619
La4 0.887 0.113 0.000
Ga1 0.421 0.579 0.281
Ga2 0.579 0.421 0.781
Te1 0.043 0.957 0.889
Te2 0.311 0.689 0.462
Te3 0.312 0.688 0.158
Te4 0.371 0.629 0.812
Te5 0.500 0.500 0.105
Te6 0.500 0.500 0.605
Te7 0.629 0.371 0.312
Te8 0.688 0.312 0.658
Te9 0.689 0.311 0.962
Te10 0.957 0.043 0.389
Au1 0.265 0.735 0.941
Au2 0.735 0.265 0.441

---

Record 2
# LaThGaAu (GGA-PBE, relaxed)
# - calculated formation energy (eV per atom) = -0.5110
data_LaThGaAu
_chemical_formula_sum 'La1 Th1 Ga1 Au1'
_cell_length_a 5.303
_cell_length_b 5.303
_cell_length_c 5.303
_cell_angle_alpha 60.00
_cell_angle_beta 60.00
_cell_angle_gamma 60.00
_space_group_name_H-M_alt 'P 1'
_space_group_IT_number 1
loop_
_space_group_symop_operation_xyz
'x,y,z'
loop_
_atom_site_label
_atom_site_fract_x
_atom_site_fract_y
_atom_site_fract_z
La1 0.000 0.000 0.000
Th1 0.500 0.500 0.500
Ga1 0.250 0.250 0.250
Au1 0.750 0.750 0.750

---

Record 3
# LaTmGa2Au4 (GGA-PBE, relaxed)
# - calculated formation energy (eV per atom) = -0.6594
data_LaTmGa2Au4
_chemical_formula_sum 'La1 Tm1 Ga2 Au4'
_cell_length_a 9.356
_cell_length_b 9.356
_cell_length_c 9.356
_cell_angle_alpha 29.05
_cell_angle_beta 29.05
_cell_angle_gamma 29.05
_space_group_name_H-M_alt 'P 1'
_space_group_IT_number 1
loop_
_space_group_symop_operation_xyz
'x,y,z'
loop_
_atom_site_label
_atom_site_fract_x
_atom_site_fract_y
_atom_site_fract_z
La1 0.000 0.000 0.000
Tm1 0.500 0.500 0.500
Ga1 0.242 0.242 0.242
Ga2 0.758 0.758 0.758
Au1 0.123 0.123 0.123
Au2 0.391 0.391 0.391
Au3 0.609 0.609 0.609
Au4 0.877 0.877 0.877

---

Record 4
# La2TmGa3Au4 (GGA-PBE, relaxed)
# - calculated formation energy (eV per atom) = -0.7070
data_La2TmGa3Au4
_chemical_formula_sum 'La2 Tm1 Ga3 Au4'
_cell_length_a 4.448
_cell_length_b 4.448
_cell_length_c 11.527
_cell_angle_alpha 90.00
_cell_angle_beta 90.00
_cell_angle_gamma 90.00
_space_group_name_H-M_alt 'P 1'
_space_group_IT_number 1
loop_
_space_group_symop_operation_xyz
'x,y,z'
loop_
_atom_site_label
_atom_site_fract_x
_atom_site_fract_y
_atom_site_fract_z
La1 0.000 0.500 0.222
La2 0.500 0.000 0.778
Tm1 0.000 0.000 0.500
Ga1 0.000 0.500 0.875
Ga2 0.500 0.000 0.125
Ga3 0.500 0.500 0.500
Au1 0.000 0.000 0.000
Au2 0.000 0.500 0.653
Au3 0.500 0.000 0.347
Au4 0.500 0.500 0.000

---

Record 5
# LaTmGaAu (GGA-PBE, relaxed)
# - calculated formation energy (eV per atom) = -0.6541
data_LaTmGaAu
_chemical_formula_sum 'La1 Tm1 Ga1 Au1'
_cell_length_a 5.214
_cell_length_b 5.214
_cell_length_c 5.214
_cell_angle_alpha 60.00
_cell_angle_beta 60.00
_cell_angle_gamma 60.00
_space_group_name_H-M_alt 'P 1'
_space_group_IT_number 1
loop_
_space_group_symop_operation_xyz
'x,y,z'
loop_
_atom_site_label
_atom_site_fract_x
_atom_site_fract_y
_atom_site_fract_z
La1 0.000 0.000 0.000
Tm1 0.500 0.500 0.500
Ga1 0.250 0.250 0.250
Au1 0.750 0.750 0.750

---

Record 6
# LaZnGa2Au2 (GGA-PBE, relaxed)
# - calculated formation energy (eV per atom) = -0.5261
data_LaZnGa2Au2
_chemical_formula_sum 'La1 Zn1 Ga2 Au2'
_cell_length_a 4.451
_cell_length_b 4.451
_cell_length_c 7.170
_cell_angle_alpha 90.00
_cell_angle_beta 90.00
_cell_angle_gamma 120.00
_space_group_name_H-M_alt 'P 1'
_space_group_IT_number 1
loop_
_space_group_symop_operation_xyz
'x,y,z'
loop_
_atom_site_label
_atom_site_fract_x
_atom_site_fract_y
_atom_site_fract_z
La1 0.000 0.000 0.000
Zn1 0.000 0.000 0.500
Ga1 0.333 0.667 0.725
Ga2 0.667 0.333 0.275
Au1 0.333 0.667 0.319
Au2 0.667 0.333 0.681

---

Record 7
# LaZnGaAu3 (GGA-PBE, relaxed)
# - calculated formation energy (eV per atom) = -0.4136
data_LaZnGaAu3
_chemical_formula_sum 'La2 Zn2 Ga2 Au6'
_cell_length_a 6.963
_cell_length_b 6.963
_cell_length_c 6.416
_cell_angle_alpha 90.00
_cell_angle_beta 90.00
_cell_angle_gamma 122.64
_space_group_name_H-M_alt 'P 1'
_space_group_IT_number 1
loop_
_space_group_symop_operation_xyz
'x,y,z'
loop_
_atom_site_label
_atom_site_fract_x
_atom_site_fract_y
_atom_site_fract_z
La1 0.206 0.794 0.750
La2 0.794 0.206 0.250
Zn1 0.454 0.546 0.750
Zn2 0.546 0.454 0.250
Ga1 0.126 0.874 0.250
Ga2 0.874 0.126 0.750
Au1 0.214 0.214 0.000
Au2 0.214 0.214 0.500
Au3 0.331 0.669 0.250
Au4 0.669 0.331 0.750
Au5 0.786 0.786 0.000
Au6 0.786 0.786 0.500

---

Record 8
# La2ZnGaAu6 (GGA-PBE, relaxed)
# - calculated formation energy (eV per atom) = -0.5131
data_La2ZnGaAu6
_chemical_formula_sum 'La2 Zn1 Ga1 Au6'
_cell_length_a 5.550
_cell_length_b 6.956
_cell_length_c 7.047
_cell_angle_alpha 79.58
_cell_angle_beta 66.90
_cell_angle_gamma 66.55
_space_group_name_H-M_alt 'P 1'
_space_group_IT_number 1
loop_
_space_group_symop_operation_xyz
'x,y,z'
loop_
_atom_site_label
_atom_site_fract_x
_atom_site_fract_y
_atom_site_fract_z
La1 0.249 0.222 0.278
La2 0.751 0.778 0.722
Zn1 0.500 0.500 0.500
Ga1 0.000 0.000 0.000
Au1 0.227 0.771 0.273
Au2 0.254 0.596 0.899
Au3 0.271 0.229 0.730
Au4 0.729 0.771 0.270
Au5 0.746 0.404 0.101
Au6 0.773 0.229 0.727

---

One value per record, in order, for DOS(E_F): 0.121; 1.173; 0.521; 0.768; 0.757; 0.519; 0.491; 0.510 states/eV/atom.
One value per record, in order, for VASP energy: -81.06; -20.70; -33.84; -43.59; -18.32; -21.97; -43.08; -38.95 eV/cell.